A relaxed structure of LiCrTe2. Source: Alexandria via LeMat-Bulk, functional PBE.

Lattice parameters (Å, degrees): 3.6593 3.7709 13.6976 90.00 90.00 90.00
With the nearest neighbours (Å) after each atom.
Space group Imm2 (No. 44)
Asymmetric unit:
1 Li 0.0000 0.0000 0.0000 x2  6 Te 2.90-3.06
2 Cr 0.0000 0.5000 0.2389 x2  6 Te 2.74-2.87
3 Te 0.0000 0.0000 0.5901 x2  2 Cr 2.74, 4 Li 2.90
4 Te 0.0000 0.5000 0.8240 x2  4 Cr 2.87, 2 Li 3.06

Output
Raw formation energy, eV per formula unit: -1.239
Volume, Å³ per atom: 23.63
Calculated total energy, eV per atom: -4.765